1.
# RbGa12Pt6

RbGa12Pt6 after structural relaxation (PBE, Alexandria).

The structure in POSCAR format:
```
RbGa12Pt6
1.0
5.806 3.352 2.952
-5.806 3.352 2.952
0.000 -6.704 2.952
Rb Ga Pt
1 12 6
direct
0.000 0.000 0.000
0.115 0.500 0.885
0.115 0.885 0.500
0.142 0.409 0.409
0.409 0.142 0.409
0.409 0.409 0.142
0.500 0.115 0.885
0.500 0.885 0.115
0.591 0.591 0.858
0.591 0.858 0.591
0.858 0.591 0.591
0.885 0.115 0.500
0.885 0.500 0.115
0.275 0.275 0.700
0.275 0.700 0.275
0.300 0.725 0.725
0.700 0.275 0.275
0.725 0.300 0.725
0.725 0.725 0.300
```

Calculated values
total DFT energy (no corrections)	-4.399	eV per atom
ΔE_f	-10.05	eV per formula unit
M_tot	0.00	μB per formula unit
space group	R-3m, No. 166
crystal system	trigonal
DOS at the Fermi energy	4.3	states/eV/cell

=====

2.
# KCd2Hg

KCd2Hg after structural relaxation (PBE, Alexandria).

The structure in POSCAR format:
```
KCd2Hg
1.0
4.820 0.000 0.000
0.000 4.820 0.000
0.000 0.000 5.185
K Cd Hg
1 2 1
direct
0.000 0.000 0.000
0.000 0.500 0.500
0.500 0.000 0.500
0.500 0.500 0.000
```

Calculated values
total DFT energy (no corrections)	-0.850	eV per atom
ΔE_f	-0.17	eV per formula unit
M_tot	0.00	μB per formula unit
space group	P4/mmm, No. 123
crystal system	tetragonal
DOS at the Fermi energy	1.8	states/eV/cell

=====

3.
# SrScSe3

SrScSe3 after structural relaxation (PBE, Alexandria).

The structure in POSCAR format:
```
SrScSe3
1.0
5.196 0.000 0.000
0.000 5.196 0.000
0.000 0.000 5.196
Sr Sc Se
1 1 3
direct
0.000 0.000 0.000
0.500 0.500 0.500
0.000 0.500 0.500
0.500 0.000 0.500
0.500 0.500 0.000
```

Calculated values
total DFT energy (no corrections)	-5.120	eV per atom
energy relative to the elements, uncorrected	-1426.8	meV per atom
M_tot	0.00	μB per formula unit
excess energy over the best structure of this formula in the dataset	0.0	kJ/mol of atoms
space group	Pm-3m, No. 221
crystal system	cubic
DOS at the Fermi energy	3.0	states/eV/cell

=====

4.
# Cs2HgGeBr6

Cs2HgGeBr6 after structural relaxation (PBE, Alexandria).

The structure in POSCAR format:
```
Cs2HgGeBr6
1.0
0.000 5.638 5.638
5.638 0.000 5.638
5.638 5.638 0.000
Cs Hg Ge Br
2 1 1 6
direct
0.250 0.250 0.250
0.750 0.750 0.750
0.000 0.000 0.000
0.500 0.500 0.500
0.254 0.254 0.746
0.254 0.746 0.254
0.254 0.746 0.746
0.746 0.254 0.254
0.746 0.254 0.746
0.746 0.746 0.254
```

Calculated values
total DFT energy (no corrections)	-2.706	eV per atom
energy relative to the elements, uncorrected	-1039.6	meV per atom
M_tot	0.00	μB per formula unit
space group	Fm-3m, No. 225
crystal system	cubic
DOS at the Fermi energy	0.0	states/eV/cell

=====

5.
# KNpCuS2

KNpCuS2 after structural relaxation (PBE, Alexandria).

The structure in POSCAR format:
```
KNpCuS2
1.0
7.469 0.000 0.000
0.000 4.931 0.000
-1.613 0.000 7.403
K Np Cu S
2 2 2 4
direct
0.000 0.192 0.250
0.000 0.808 0.750
0.500 0.489 0.750
0.500 0.511 0.250
0.500 0.000 0.000
0.500 0.000 0.500
0.268 0.285 0.957
0.268 0.715 0.457
0.732 0.285 0.543
0.732 0.715 0.043
```

Calculated values
total DFT energy (no corrections)	-6.031	eV per atom
energy relative to the elements, uncorrected	-753.0	meV per atom
M_tot	4.89	μB per formula unit
space group	P2/c, No. 13
crystal system	monoclinic
DOS at the Fermi energy	19.1	states/eV/cell

=====

6.
# KSrIn2

KSrIn2 after structural relaxation (PBE, Alexandria).

The structure in POSCAR format:
```
KSrIn2
1.0
9.372 0.000 0.000
0.000 9.372 0.000
0.000 0.000 7.124
K Sr In
4 4 8
direct
0.000 0.000 0.000
0.000 0.500 0.250
0.500 0.000 0.750
0.500 0.500 0.500
0.000 0.000 0.500
0.000 0.500 0.750
0.500 0.000 0.250
0.500 0.500 0.000
0.244 0.250 0.625
0.250 0.744 0.875
0.250 0.756 0.375
0.256 0.250 0.125
0.744 0.750 0.125
0.750 0.244 0.375
0.750 0.256 0.875
0.756 0.750 0.625
```

Calculated values
total DFT energy (no corrections)	-1.987	eV per atom
ΔE_f	0.31	eV per formula unit
M_tot	0.00	μB per formula unit
excess energy over the best structure of this formula in the dataset	26.3	kJ/mol of atoms
space group	I-42d, No. 122
crystal system	tetragonal
DOS at the Fermi energy	14.7	states/eV/cell

=====

7.
# LiPt2W

LiPt2W after structural relaxation (PBE, Alexandria).

The structure in POSCAR format:
```
LiPt2W
1.0
2.735 0.000 0.000
0.000 4.550 0.000
0.000 0.000 4.802
Li Pt W
1 2 1
direct
0.000 0.000 0.000
0.500 0.000 0.516
0.500 0.500 0.899
0.000 0.500 0.378
```

Calculated values
total DFT energy (no corrections)	-7.129	eV per atom
ΔE_f	-1.57	eV per formula unit
M_tot	0.00	μB per formula unit
space group	Pmm2, No. 25
crystal system	orthorhombic
DOS at the Fermi energy	2.5	states/eV/cell

=====

8.
# CsLa

CsLa after structural relaxation (PBE, Alexandria).

The structure in POSCAR format:
```
CsLa
1.0
15.543 0.000 0.000
0.000 15.543 0.000
0.000 0.000 3.782
Cs La
8 8
direct
0.000 0.244 0.000
0.000 0.756 0.000
0.244 0.000 0.000
0.264 0.264 0.500
0.264 0.736 0.500
0.736 0.264 0.500
0.736 0.736 0.500
0.756 0.000 0.000
0.125 0.500 0.000
0.344 0.500 0.500
0.500 0.125 0.000
0.500 0.344 0.500
0.500 0.656 0.500
0.500 0.875 0.000
0.656 0.500 0.500
0.875 0.500 0.000
```

Calculated values
total DFT energy (no corrections)	-2.348	eV per atom
ΔE_f	1.09	eV per formula unit
M_tot	0.00	μB per formula unit
space group	P4/mmm, No. 123
crystal system	tetragonal
DOS at the Fermi energy	25.5	states/eV/cell

=====

9.
# ZrTeAsN2

ZrTeAsN2 after structural relaxation (PBE, Alexandria).

The structure in POSCAR format:
```
ZrTeAsN2
1.0
4.043 0.000 0.000
0.000 4.043 0.000
0.000 0.000 5.260
Zr Te As N
1 1 1 2
direct
0.000 0.000 0.000
0.500 0.500 0.000
0.500 0.500 0.500
0.000 0.500 0.500
0.500 0.000 0.500
```

Calculated values
total DFT energy (no corrections)	-5.502	eV per atom
energy relative to the elements, uncorrected	1095.8	meV per atom
M_tot	0.00	μB per formula unit
excess energy over the best structure of this formula in the dataset	50.7	kJ/mol of atoms
space group	P4/mmm, No. 123
crystal system	tetragonal
DOS at the Fermi energy	3.8	states/eV/cell

=====

10.
# CsZnSb2I

CsZnSb2I after structural relaxation (PBE, Alexandria).

The structure in POSCAR format:
```
CsZnSb2I
1.0
6.585 0.000 0.000
0.000 6.585 0.000
0.000 0.000 6.916
Cs Zn Sb I
1 1 2 1
direct
0.000 0.000 0.000
0.500 0.500 0.500
0.000 0.500 0.000
0.500 0.000 0.000
0.000 0.000 0.500
```

Calculated values
total DFT energy (no corrections)	-1.374	eV per atom
energy relative to the elements, uncorrected	1010.9	meV per atom
M_tot	3.44	μB per formula unit
excess energy over the best structure of this formula in the dataset	104.8	kJ/mol of atoms
space group	P4/mmm, No. 123
crystal system	tetragonal
DOS at the Fermi energy	5.8	states/eV/cell

=====

11.
# Cs2AuBr

Cs2AuBr after structural relaxation (PBE, Alexandria).

The structure in POSCAR format:
```
Cs2AuBr
1.0
15.786 0.000 0.000
0.000 13.035 0.000
-4.520 0.000 7.144
Cs Au Br
4 2 2
direct
0.249 0.000 0.249
0.251 0.500 0.751
0.749 0.500 0.249
0.751 0.000 0.751
0.000 0.500 0.500
0.500 0.000 0.500
0.000 0.000 0.000
0.500 0.500 0.000
```

Calculated values
total DFT energy (no corrections)	-2.316	eV per atom
energy relative to the elements, uncorrected	-651.5	meV per atom
M_tot	0.00	μB per formula unit
excess energy over the best structure of this formula in the dataset	38.7	kJ/mol of atoms
space group	C2/m, No. 12
crystal system	monoclinic
DOS at the Fermi energy	0.0	states/eV/cell

=====

12.
# NbTe4I2

NbTe4I2 after structural relaxation (PBE, Alexandria).

The structure in POSCAR format:
```
NbTe4I2
1.0
6.822 -6.166 0.000
6.822 6.166 0.000
-0.027 0.000 6.629
Nb Te I
2 8 4
direct
0.000 0.000 0.250
0.000 0.000 0.750
0.075 0.236 0.502
0.162 0.784 0.000
0.216 0.838 0.500
0.236 0.075 0.002
0.764 0.925 0.998
0.784 0.162 0.500
0.838 0.216 0.000
0.925 0.764 0.498
0.000 0.500 0.000
0.500 0.000 0.500
0.500 0.500 0.000
0.500 0.500 0.500
```

Calculated values
total DFT energy (no corrections)	-3.928	eV per atom
energy relative to the elements, uncorrected	-250.8	meV per atom
M_tot	0.00	μB per formula unit
space group	C2/c, No. 15
crystal system	monoclinic
DOS at the Fermi energy	4.2	states/eV/cell

=====

13.
# PrZn5Cu7

PrZn5Cu7 after structural relaxation (PBE, Alexandria).

The structure in POSCAR format:
```
PrZn5Cu7
1.0
-2.482 4.403 4.368
2.482 -4.403 4.368
2.482 4.403 -4.368
Pr Zn Cu
1 5 7
direct
0.000 0.000 0.000
0.003 0.007 0.498
0.003 0.505 0.996
0.231 0.731 0.500
0.509 0.007 0.004
0.509 0.505 0.502
0.236 0.506 0.730
0.359 0.359 0.000
0.363 0.007 0.356
0.646 0.646 0.000
0.650 0.007 0.644
0.776 0.506 0.270
0.778 0.278 0.500
```

Calculated values
total DFT energy (no corrections)	-3.180	eV per atom
ΔE_f	-1.51	eV per formula unit
M_tot	0.00	μB per formula unit
space group	Imm2, No. 44
crystal system	orthorhombic
DOS at the Fermi energy	5.6	states/eV/cell

=====

14.
# KLa2Re

KLa2Re after structural relaxation (PBE, Alexandria).

The structure in POSCAR format:
```
KLa2Re
1.0
3.596 0.000 0.000
0.000 3.596 0.000
0.000 0.000 11.121
K La Re
1 2 1
direct
0.000 0.000 0.000
0.500 0.500 0.346
0.500 0.500 0.654
0.000 0.000 0.500
```

Calculated values
total DFT energy (no corrections)	-5.600	eV per atom
ΔE_f	1.00	eV per formula unit
M_tot	0.00	μB per formula unit
excess energy over the best structure of this formula in the dataset	0.0	kJ/mol of atoms
space group	P4/mmm, No. 123
crystal system	tetragonal
DOS at the Fermi energy	4.7	states/eV/cell

=====

15.
# LaAl4CuPt2

LaAl4CuPt2 after structural relaxation (PBE, Alexandria).

The structure in POSCAR format:
```
LaAl4CuPt2
1.0
2.137 1.234 9.078
-2.137 1.234 9.078
0.000 -2.468 9.078
La Al Cu Pt
1 4 1 2
direct
0.000 0.000 0.000
0.134 0.134 0.134
0.407 0.407 0.407
0.593 0.593 0.593
0.866 0.866 0.866
0.500 0.500 0.500
0.233 0.233 0.233
0.767 0.767 0.767
```

Calculated values
total DFT energy (no corrections)	-5.289	eV per atom
ΔE_f	-6.24	eV per formula unit
M_tot	0.00	μB per formula unit
space group	R-3m, No. 166
crystal system	trigonal
DOS at the Fermi energy	3.2	states/eV/cell

=====

16.
# Sb3PAu

Sb3PAu after structural relaxation (PBE, Alexandria).

The structure in POSCAR format:
```
Sb3PAu
1.0
5.346 0.000 0.000
0.000 5.346 0.000
0.000 0.000 5.346
Sb P Au
3 1 1
direct
0.000 0.000 0.500
0.000 0.500 0.000
0.500 0.000 0.000
0.500 0.500 0.500
0.000 0.000 0.000
```

Calculated values
total DFT energy (no corrections)	-3.242	eV per atom
energy relative to the elements, uncorrected	968.4	meV per atom
M_tot	0.00	μB per formula unit
excess energy over the best structure of this formula in the dataset	26.2	kJ/mol of atoms
space group	Pm-3m, No. 221
crystal system	cubic
DOS at the Fermi energy	7.0	states/eV/cell

=====

17.
# LaGaP2O8

LaGaP2O8 after structural relaxation (PBE, Alexandria).

The structure in POSCAR format:
```
LaGaP2O8
1.0
4.960 0.000 0.000
-2.480 4.296 0.000
0.000 0.000 6.948
La Ga P O
1 1 2 8
direct
0.000 0.000 0.000
0.000 0.000 0.500
0.333 0.667 0.749
0.667 0.333 0.251
0.085 0.336 0.684
0.251 0.915 0.684
0.333 0.667 0.971
0.336 0.251 0.316
0.664 0.749 0.684
0.667 0.333 0.029
0.749 0.085 0.316
0.915 0.664 0.316
```

Calculated values
total DFT energy (no corrections)	-7.386	eV per atom
energy relative to the elements, uncorrected	-2516.1	meV per atom
M_tot	0.00	μB per formula unit
space group	P-3, No. 147
crystal system	trigonal
DOS at the Fermi energy	0.0	states/eV/cell

=====

18.
# Ac4Ag2Pt

Ac4Ag2Pt after structural relaxation (PBE, Alexandria).

The structure in POSCAR format:
```
Ac4Ag2Pt
1.0
5.921 0.000 0.000
0.000 5.921 0.000
0.000 0.000 15.403
Ac Ag Pt
8 4 2
direct
0.000 0.000 0.196
0.000 0.000 0.804
0.000 0.500 0.000
0.000 0.500 0.500
0.500 0.000 0.000
0.500 0.000 0.500
0.500 0.500 0.304
0.500 0.500 0.696
0.000 0.000 0.400
0.000 0.000 0.600
0.500 0.500 0.100
0.500 0.500 0.900
0.000 0.000 0.000
0.500 0.500 0.500
```

Calculated values
total DFT energy (no corrections)	-4.330	eV per atom
ΔE_f	-2.13	eV per formula unit
M_tot	0.00	μB per formula unit
excess energy over the best structure of this formula in the dataset	14.9	kJ/mol of atoms
space group	I4/mmm, No. 139
crystal system	tetragonal
DOS at the Fermi energy	19.0	states/eV/cell

=====

19.
# V2CrMo5

V2CrMo5 after structural relaxation (PBE, Alexandria).

The structure in POSCAR format:
```
V2CrMo5
1.0
6.172 0.000 0.000
0.000 12.338 0.000
0.000 0.000 3.098
V Cr Mo
4 2 10
direct
0.249 0.124 0.000
0.251 0.624 0.000
0.749 0.376 0.000
0.751 0.876 0.000
0.000 0.500 0.500
0.500 0.000 0.500
0.000 0.000 0.500
0.006 0.749 0.500
0.241 0.378 0.000
0.259 0.878 0.000
0.494 0.249 0.500
0.500 0.500 0.500
0.506 0.751 0.500
0.741 0.122 0.000
0.759 0.622 0.000
0.994 0.251 0.500
```

Calculated values
total DFT energy (no corrections)	-10.318	eV per atom
ΔE_f	-0.53	eV per formula unit
M_tot	0.00	μB per formula unit
space group	Pbam, No. 55
crystal system	orthorhombic
DOS at the Fermi energy	11.6	states/eV/cell

=====

20.
# TiAlN2O

TiAlN2O after structural relaxation (PBE, Alexandria).

The structure in POSCAR format:
```
TiAlN2O
1.0
3.959 0.000 0.000
0.000 3.959 0.000
0.000 0.000 3.732
Ti Al N O
1 1 2 1
direct
0.000 0.000 0.000
0.500 0.500 0.500
0.000 0.500 0.000
0.500 0.000 0.000
0.000 0.000 0.500
```

Calculated values
total DFT energy (no corrections)	-6.934	eV per atom
energy relative to the elements, uncorrected	-284.6	meV per atom
M_tot	0.00	μB per formula unit
space group	P4/mmm, No. 123
crystal system	tetragonal
DOS at the Fermi energy	3.3	states/eV/cell